Record 1
Computed, not measured: BaDyFe4O7 at its PBEsol-relaxed geometry at the SCAN level of DFT.

Geometry as POSCAR:
```
BaDyFe4O7
1.0
6.267 0.000 0.000
0.000 8.939 0.000
-0.030 0.000 6.276
Ba Dy Fe O
2 2 8 14
Direct
0.220 0.000 0.234
0.780 0.500 0.766
0.251 0.252 0.739
0.749 0.752 0.261
0.011 0.873 0.741
0.243 0.635 0.997
0.275 0.662 0.572
0.477 0.858 0.774
0.523 0.358 0.226
0.725 0.162 0.428
0.757 0.135 0.003
0.989 0.373 0.259
0.024 0.243 0.014
0.039 0.775 0.467
0.217 0.500 0.760
0.247 0.004 0.790
0.257 0.494 0.246
0.429 0.214 0.441
0.458 0.782 0.062
0.542 0.282 0.938
0.571 0.714 0.559
0.743 0.994 0.754
0.753 0.504 0.210
0.783 0.000 0.240
0.961 0.275 0.533
0.976 0.743 0.986
```

Final energy   -1.311 Ry per atom
Density   6.0 g/cm3
Raw formation energy   -2.19 eV per atom
Polymorph energy (0 for the lowest one)   0.00 eV/f.u.

Record 2
Computed, not measured: Ba6Dy2Ga4O15 at its PBEsol-relaxed geometry at the SCAN level of DFT.

Geometry as POSCAR:
```
Ba6Dy2Ga4O15
1.0
7.935 0.000 0.000
0.000 5.957 0.000
-0.405 0.000 18.400
Ba Dy Ga O
12 4 8 30
Direct
0.000 0.169 0.250
0.000 0.254 0.578
0.000 0.254 0.922
0.000 0.746 0.078
0.000 0.746 0.422
0.000 0.831 0.750
0.474 0.251 0.910
0.474 0.749 0.410
0.500 0.219 0.250
0.500 0.781 0.750
0.526 0.251 0.590
0.526 0.749 0.090
0.253 0.248 0.090
0.253 0.752 0.590
0.747 0.248 0.410
0.747 0.752 0.910
0.255 0.246 0.441
0.255 0.754 0.941
0.270 0.275 0.734
0.270 0.725 0.234
0.730 0.275 0.766
0.730 0.725 0.266
0.745 0.246 0.059
0.745 0.754 0.559
0.031 0.256 0.410
0.031 0.744 0.910
0.191 0.162 0.818
0.191 0.838 0.318
0.221 0.454 0.191
0.221 0.546 0.691
0.252 0.052 0.663
0.252 0.948 0.163
0.266 0.014 0.997
0.266 0.986 0.497
0.267 0.484 0.508
0.267 0.516 0.008
0.455 0.268 0.391
0.455 0.732 0.891
0.500 0.308 0.750
0.500 0.692 0.250
0.545 0.268 0.109
0.545 0.732 0.609
0.733 0.484 0.992
0.733 0.516 0.492
0.734 0.014 0.503
0.734 0.986 0.003
0.748 0.052 0.837
0.748 0.948 0.337
0.779 0.454 0.309
0.779 0.546 0.809
0.809 0.162 0.682
0.809 0.838 0.182
0.969 0.256 0.090
0.969 0.744 0.590
```

Final energy   -1.550 Ry per atom
Density   6.4 g/cm3
Raw formation energy   -2.88 eV per atom
DOS(E_F)   0.000 states/eV per atom